(1)
! LiBeRh2, relaxed, DFT PBE; values from VASP
&SYSTEM
  ibrav = 0, nat = 4, ntyp = 3
/
ATOMIC_SPECIES
Be 9.01 Be.upf
Li 6.94 Li.upf
Rh 102.91 Rh.upf
ATOMIC_POSITIONS crystal
Be 0.7500 0.7500 0.7500
Li 0.2500 0.2500 0.2500
Rh 0.0253 0.0253 0.9784
Rh 0.4747 0.4747 0.5216
CELL_PARAMETERS angstrom
4.4677 0.0001 0.0110
3.6236 2.6134 0.0110
1.5823 0.5111 4.2513
! Energy of formation from the pure elements ... -0.281 eV per atom
! N(E_F) ... 0.48 states/eV per atom
! M_tot ... 0.00 μB per formula unit
! Crystal system ... monoclinic


(2)
! LiBeRh, relaxed, DFT PBE; values from VASP
&SYSTEM
  ibrav = 0, nat = 6, ntyp = 3
/
ATOMIC_SPECIES
Be 9.01 Be.upf
Rh 102.91 Rh.upf
Li 6.94 Li.upf
ATOMIC_POSITIONS crystal
Be 0.4432 0.2500 0.8863
Be 0.5568 0.7500 0.1137
Rh 0.9114 0.7500 0.8229
Rh 0.0886 0.2500 0.1771
Li 0.7725 0.2500 0.5450
Li 0.2275 0.7500 0.4550
CELL_PARAMETERS angstrom
-1.5472 -1.7508 -1.6423
0.0956 -2.6103 2.6927
-4.6597 3.2954 3.3600
! Energy of formation from the pure elements ... -0.335 eV per atom
! N(E_F) ... 0.68 states/eV per atom
! M_tot ... 0.00 μB per formula unit
! Crystal system ... orthorhombic
! Energy relative to the lowest polymorph listed for this composition ... 0.063 eV per atom


(3)
! LiBeRh, relaxed, DFT PBE; values from VASP
&SYSTEM
  ibrav = 0, nat = 3, ntyp = 3
/
ATOMIC_SPECIES
Be 9.01 Be.upf
Li 6.94 Li.upf
Rh 102.91 Rh.upf
ATOMIC_POSITIONS crystal
Be 0.0000 0.0000 0.0115
Li 0.6667 0.3333 0.2815
Rh 0.3333 0.6667 0.7070
CELL_PARAMETERS angstrom
-2.9880 2.2470 -0.5447
-0.5082 -3.6302 0.9149
0.0174 0.6663 2.6533
! Energy of formation from the pure elements ... -0.185 eV per atom
! N(E_F) ... 0.60 states/eV per atom
! M_tot ... 0.00 μB per formula unit
! Crystal system ... trigonal
! Energy relative to the lowest polymorph listed for this composition ... 0.213 eV per atom


(4)
! LiBeRh, relaxed, DFT PBE; values from VASP
&SYSTEM
  ibrav = 0, nat = 3, ntyp = 3
/
ATOMIC_SPECIES
Be 9.01 Be.upf
Li 6.94 Li.upf
Rh 102.91 Rh.upf
ATOMIC_POSITIONS crystal
Be 0.0000 0.0000 0.0000
Li 0.5000 0.5000 0.5000
Rh 0.7500 0.7500 0.7500
CELL_PARAMETERS angstrom
3.8387 0.0000 0.0000
1.9193 3.3244 0.0000
1.9193 1.1081 3.1343
! Energy of formation from the pure elements ... 0.188 eV per atom
! N(E_F) ... 0.20 states/eV per atom
! M_tot ... 0.00 μB per formula unit
! Crystal system ... cubic
! Energy relative to the lowest polymorph listed for this composition ... 0.586 eV per atom


(5)
! LiBeRh, relaxed, DFT PBE; values from VASP
&SYSTEM
  ibrav = 0, nat = 3, ntyp = 3
/
ATOMIC_SPECIES
Be 9.01 Be.upf
Li 6.94 Li.upf
Rh 102.91 Rh.upf
ATOMIC_POSITIONS crystal
Be 0.0000 0.0000 0.9677
Li 0.6667 0.3333 0.3385
Rh 0.3333 0.6667 0.6938
CELL_PARAMETERS angstrom
2.7127 0.0000 0.0000
-1.3563 2.3493 0.0000
0.0000 0.0000 6.0435
! Energy of formation from the pure elements ... -0.092 eV per atom
! N(E_F) ... 0.34 states/eV per atom
! M_tot ... 0.00 μB per formula unit
! Crystal system ... trigonal
! Energy relative to the lowest polymorph listed for this composition ... 0.306 eV per atom


(6)
! LiBeRh2, relaxed, DFT PBE; values from VASP
&SYSTEM
  ibrav = 0, nat = 4, ntyp = 3
/
ATOMIC_SPECIES
Be 9.01 Be.upf
Li 6.94 Li.upf
Rh 102.91 Rh.upf
ATOMIC_POSITIONS crystal
Be 0.7500 0.2500 0.5000
Li 0.2500 0.7500 0.5000
Rh 0.9715 0.9715 0.0000
Rh 0.5285 0.5285 0.0000
CELL_PARAMETERS angstrom
-1.2044 -2.9445 -3.6042
3.7556 -1.4148 -2.6467
-2.0991 -0.0221 4.3249
! Energy of formation from the pure elements ... -0.285 eV per atom
! N(E_F) ... 0.45 states/eV per atom
! M_tot ... 0.00 μB per formula unit
! Crystal system ... orthorhombic


Q: What is the energy of formation from the pure elements in the fifth record?
A: -0.092 eV per atom


Q: The lowest energy of formation from the pure elements belongs to which entry?
A: number 2


What did the fourth record say?
! LiBeRh, relaxed, DFT PBE; values from VASP
&SYSTEM
  ibrav = 0, nat = 3, ntyp = 3
/
ATOMIC_SPECIES
Be 9.01 Be.upf
Li 6.94 Li.upf
Rh 102.91 Rh.upf
ATOMIC_POSITIONS crystal
Be 0.0000 0.0000 0.0000
Li 0.5000 0.5000 0.5000
Rh 0.7500 0.7500 0.7500
CELL_PARAMETERS angstrom
3.8387 0.0000 0.0000
1.9193 3.3244 0.0000
1.9193 1.1081 3.1343
! Energy of formation from the pure elements ... 0.188 eV per atom
! N(E_F) ... 0.20 states/eV per atom
! M_tot ... 0.00 μB per formula unit
! Crystal system ... cubic
! Energy relative to the lowest polymorph listed for this composition ... 0.586 eV per atom


Q: Look up the energy of formation from the pure elements of the fifth one.
A: -0.092 eV per atom